# 1
PrAl6Ag12 | PBE-GGA | optimized geometry

a = 7.469 Å, b = 7.469 Å, c = 7.469 Å
α = 104.87°, β = 104.87°, γ = 104.87°
Element x y z (fractional)
Pr1 0.000 0.000 0.000
Al1 0.273 0.273 0.702
Al2 0.273 0.702 0.273
Al3 0.298 0.727 0.727
Al4 0.702 0.273 0.273
Al5 0.727 0.298 0.727
Al6 0.727 0.727 0.298
Ag1 0.117 0.500 0.883
Ag2 0.117 0.883 0.500
Ag3 0.144 0.395 0.395
Ag4 0.395 0.144 0.395
Ag5 0.395 0.395 0.144
Ag6 0.500 0.117 0.883
Ag7 0.500 0.883 0.117
Ag8 0.605 0.605 0.856
Ag9 0.605 0.856 0.605
Ag10 0.856 0.605 0.605
Ag11 0.883 0.117 0.500
Ag12 0.883 0.500 0.117

Computed properties:
* symmetry: No. 166
* formation energy: -0.037 eV/atom



# 2
Sr2YCuPd | PBE-GGA | optimized geometry

a = 5.803 Å, b = 5.803 Å, c = 4.929 Å
α = 90.00°, β = 90.00°, γ = 90.00°
Element x y z (fractional)
Sr1 0.000 0.500 0.000
Sr2 0.500 0.000 0.000
Y1 0.000 0.000 0.500
Cu1 0.500 0.500 0.500
Pd1 0.500 0.500 0.000

Computed properties:
* symmetry: No. 123
* formation energy: 0.201 eV/atom



# 3
VCd2Ru | PBE-GGA | optimized geometry

a = 5.995 Å, b = 5.995 Å, c = 5.995 Å
α = 101.34°, β = 101.34°, γ = 127.36°
Element x y z (fractional)
V1 0.000 0.000 0.000
V2 0.750 0.250 0.500
Cd1 0.137 0.625 0.012
Cd2 0.375 0.387 0.512
Cd3 0.613 0.125 0.988
Cd4 0.875 0.863 0.488
Ru1 0.250 0.750 0.500
Ru2 0.500 0.500 0.000

Computed properties:
* symmetry: No. 122
* formation energy: 0.778 eV/atom
* excess energy over the best structure of this formula in the dataset: 300 meV/atom



# 4
TbNdSm4 | PBE-GGA | optimized geometry

a = 7.036 Å, b = 7.036 Å, c = 9.743 Å
α = 90.00°, β = 90.00°, γ = 121.28°
Element x y z (fractional)
Tb1 0.000 0.000 0.000
Tb2 0.000 0.000 0.500
Nd1 0.178 0.822 0.750
Nd2 0.822 0.178 0.250
Sm1 0.156 0.365 0.750
Sm2 0.347 0.653 0.073
Sm3 0.347 0.653 0.427
Sm4 0.365 0.156 0.250
Sm5 0.635 0.844 0.750
Sm6 0.653 0.347 0.573
Sm7 0.653 0.347 0.927
Sm8 0.844 0.635 0.250

Computed properties:
* symmetry: No. 63
* formation energy: 0.233 eV/atom
* excess energy over the best structure of this formula in the dataset: 126 meV/atom



# 5
LiScSnS4 | PBE-GGA | optimized geometry

a = 7.571 Å, b = 7.571 Å, c = 7.571 Å
α = 120.45°, β = 119.75°, γ = 89.83°
Element x y z (fractional)
Li1 0.387 0.137 0.250
Li2 0.613 0.863 0.750
Sc1 0.000 0.000 0.500
Sc2 0.000 0.500 0.000
Sn1 0.000 0.500 0.500
Sn2 0.500 0.500 0.000
S1 0.224 0.740 0.484
S2 0.244 0.260 0.984
S3 0.245 0.257 0.512
S4 0.245 0.732 0.988
S5 0.755 0.268 0.012
S6 0.755 0.743 0.488
S7 0.756 0.740 0.016
S8 0.776 0.260 0.516

Computed properties:
* symmetry: No. 74
* ΔE_f (raw): -1.153 eV/atom



# 6
ErHg4Pd7 | PBE-GGA | optimized geometry

a = 5.940 Å, b = 5.940 Å, c = 10.012 Å
α = 117.37°, β = 117.37°, γ = 50.23°
Element x y z (fractional)
Er1 0.000 0.000 0.000
Hg1 0.252 0.252 0.670
Hg2 0.415 0.415 0.230
Hg3 0.585 0.585 0.770
Hg4 0.748 0.748 0.330
Pd1 0.056 0.056 0.343
Pd2 0.213 0.213 0.921
Pd3 0.354 0.354 0.467
Pd4 0.500 0.500 0.000
Pd5 0.646 0.646 0.533
Pd6 0.787 0.787 0.079
Pd7 0.944 0.944 0.657

Computed properties:
* symmetry: No. 12
* formation energy: -0.174 eV/atom



# 7
Pa2NbReN6 | PBE-GGA | optimized geometry

a = 5.395 Å, b = 5.395 Å, c = 4.851 Å
α = 90.00°, β = 90.00°, γ = 90.00°
Element x y z (fractional)
Pa1 0.000 0.500 0.000
Pa2 0.500 0.000 0.000
Nb1 0.000 0.000 0.588
Re1 0.500 0.500 0.587
N1 0.000 0.000 0.194
N2 0.254 0.254 0.750
N3 0.254 0.746 0.750
N4 0.500 0.500 0.215
N5 0.746 0.254 0.750
N6 0.746 0.746 0.750

Computed properties:
* symmetry: No. 99
* ΔE_f (raw): -0.832 eV/atom



# 8
TiBiH3 | PBE-GGA | optimized geometry

a = 3.769 Å, b = 3.769 Å, c = 3.769 Å
α = 90.00°, β = 90.00°, γ = 90.00°
Element x y z (fractional)
Ti1 0.000 0.000 0.000
Bi1 0.500 0.500 0.500
H1 0.000 0.000 0.500
H2 0.000 0.500 0.000
H3 0.500 0.000 0.000

Computed properties:
* symmetry: No. 221
* excess energy over the best structure of this formula in the dataset: 0 meV/atom



# 9
Sr2GaCu | PBE-GGA | optimized geometry

a = 10.489 Å, b = 10.489 Å, c = 10.489 Å
α = 22.97°, β = 22.97°, γ = 22.97°
Element x y z (fractional)
Sr1 0.106 0.106 0.106
Sr2 0.894 0.894 0.894
Ga1 0.000 0.000 0.000
Cu1 0.500 0.500 0.500

Computed properties:
* symmetry: No. 166
* formation energy: 0.257 eV/atom



# 10
Ti3Al5O12 | PBE-GGA | optimized geometry

a = 10.078 Å, b = 10.078 Å, c = 10.078 Å
α = 109.47°, β = 109.47°, γ = 109.47°
Element x y z (fractional)
Ti1 0.125 0.250 0.375
Ti2 0.125 0.375 0.750
Ti3 0.250 0.375 0.125
Ti4 0.250 0.875 0.625
Ti5 0.375 0.125 0.250
Ti6 0.375 0.750 0.125
Ti7 0.625 0.250 0.875
Ti8 0.625 0.875 0.750
Ti9 0.750 0.125 0.375
Ti10 0.750 0.625 0.875
Ti11 0.875 0.625 0.250
Ti12 0.875 0.750 0.625
Al1 0.000 0.000 0.000
Al2 0.000 0.000 0.500
Al3 0.000 0.500 0.000
Al4 0.000 0.500 0.500
Al5 0.125 0.750 0.875
Al6 0.125 0.875 0.250
Al7 0.250 0.125 0.875
Al8 0.250 0.625 0.375
Al9 0.375 0.250 0.625
Al10 0.375 0.625 0.750
Al11 0.500 0.000 0.000
Al12 0.500 0.000 0.500
Al13 0.500 0.500 0.000
Al14 0.500 0.500 0.500
Al15 0.625 0.375 0.250
Al16 0.625 0.750 0.375
Al17 0.750 0.375 0.625
Al18 0.750 0.875 0.125
Al19 0.875 0.125 0.750
Al20 0.875 0.250 0.125
O1 0.031 0.209 0.125
O2 0.031 0.322 0.906
O3 0.084 0.709 0.678
O4 0.084 0.875 0.406
O5 0.094 0.625 0.416
O6 0.094 0.969 0.678
O7 0.125 0.031 0.209
O8 0.125 0.594 0.916
O9 0.178 0.209 0.584
O10 0.178 0.469 0.594
O11 0.209 0.125 0.031
O12 0.209 0.584 0.178
O13 0.291 0.322 0.916
O14 0.291 0.469 0.375
O15 0.322 0.906 0.031
O16 0.322 0.916 0.291
O17 0.375 0.291 0.469
O18 0.375 0.584 0.906
O19 0.406 0.084 0.875
O20 0.406 0.822 0.531
O21 0.416 0.094 0.625
O22 0.416 0.822 0.791
O23 0.469 0.375 0.291
O24 0.469 0.594 0.178
O25 0.531 0.406 0.822
O26 0.531 0.625 0.709
O27 0.584 0.178 0.209
O28 0.584 0.906 0.375
O29 0.594 0.178 0.469
O30 0.594 0.916 0.125
O31 0.625 0.416 0.094
O32 0.625 0.709 0.531
O33 0.678 0.084 0.709
O34 0.678 0.094 0.969
O35 0.709 0.531 0.625
O36 0.709 0.678 0.084
O37 0.791 0.416 0.822
O38 0.791 0.875 0.969
O39 0.822 0.531 0.406
O40 0.822 0.791 0.416
O41 0.875 0.406 0.084
O42 0.875 0.969 0.791
O43 0.906 0.031 0.322
O44 0.906 0.375 0.584
O45 0.916 0.125 0.594
O46 0.916 0.291 0.322
O47 0.969 0.678 0.094
O48 0.969 0.791 0.875

Computed properties:
* symmetry: No. 230
* ΔE_f (raw): -2.825 eV/atom



# 11
PuNi6 | PBE-GGA | optimized geometry

a = 5.330 Å, b = 5.330 Å, c = 5.330 Å
α = 90.00°, β = 90.00°, γ = 90.00°
Element x y z (fractional)
Pu1 0.000 0.000 0.000
Ni1 0.197 0.500 0.500
Ni2 0.500 0.197 0.500
Ni3 0.500 0.500 0.197
Ni4 0.500 0.500 0.803
Ni5 0.500 0.803 0.500
Ni6 0.803 0.500 0.500

Computed properties:
* symmetry: No. 221
* formation energy: 0.941 eV/atom
* excess energy over the best structure of this formula in the dataset: 1028 meV/atom



# 12
Sm4Dy2Th5 | PBE-GGA | optimized geometry

a = 8.884 Å, b = 3.477 Å, c = 11.764 Å
α = 90.00°, β = 94.52°, γ = 90.00°
Element x y z (fractional)
Sm1 0.159 0.000 0.402
Sm2 0.295 0.000 0.947
Sm3 0.705 0.000 0.053
Sm4 0.841 0.000 0.598
Dy1 0.057 0.500 0.137
Dy2 0.943 0.500 0.863
Th1 0.209 0.500 0.677
Th2 0.427 0.500 0.213
Th3 0.500 0.500 0.500
Th4 0.573 0.500 0.787
Th5 0.791 0.500 0.323

Computed properties:
* symmetry: No. 10
* formation energy: 0.146 eV/atom



# 13
HfSb3Cl | PBE-GGA | optimized geometry

a = 5.167 Å, b = 5.167 Å, c = 5.167 Å
α = 90.00°, β = 90.00°, γ = 90.00°
Element x y z (fractional)
Hf1 0.000 0.000 0.000
Sb1 0.000 0.500 0.500
Sb2 0.500 0.000 0.500
Sb3 0.500 0.500 0.000
Cl1 0.500 0.500 0.500

Computed properties:
* symmetry: No. 221
* ΔE_f (raw): 0.787 eV/atom
* excess energy over the best structure of this formula in the dataset: 708 meV/atom



# 14
ScTlCu2 | PBE-GGA | optimized geometry

a = 6.130 Å, b = 6.130 Å, c = 6.130 Å
α = 151.43°, β = 132.76°, γ = 56.14°
Element x y z (fractional)
Sc1 0.000 0.000 0.000
Tl1 0.500 0.500 0.000
Cu1 0.251 0.251 0.000
Cu2 0.749 0.749 0.000

Computed properties:
* symmetry: No. 71
* formation energy: 0.421 eV/atom



# 15
La5SmHo3 | PBE-GGA | optimized geometry

a = 10.069 Å, b = 10.069 Å, c = 11.518 Å
α = 113.83°, β = 113.83°, γ = 38.24°
Element x y z (fractional)
La1 0.029 0.634 0.287
La2 0.096 0.904 0.750
La3 0.154 0.504 0.640
La4 0.366 0.971 0.213
La5 0.496 0.846 0.860
La6 0.504 0.154 0.140
La7 0.634 0.029 0.787
La8 0.846 0.496 0.360
La9 0.904 0.096 0.250
La10 0.971 0.366 0.713
Sm1 0.366 0.634 0.250
Sm2 0.634 0.366 0.750
Ho1 0.050 0.631 0.986
Ho2 0.369 0.950 0.514
Ho3 0.500 0.500 0.000
Ho4 0.500 0.500 0.500
Ho5 0.631 0.050 0.486
Ho6 0.950 0.369 0.014

Computed properties:
* symmetry: No. 15
* formation energy: 0.243 eV/atom
* excess energy over the best structure of this formula in the dataset: 0 meV/atom



# 16
TbMn2Co9 | PBE-GGA | optimized geometry

a = 8.242 Å, b = 8.242 Å, c = 8.242 Å
α = 34.06°, β = 34.06°, γ = 34.06°
Element x y z (fractional)
Tb1 0.000 0.000 0.000
Mn1 0.145 0.145 0.145
Mn2 0.855 0.855 0.855
Co1 0.078 0.591 0.591
Co2 0.336 0.336 0.336
Co3 0.409 0.409 0.922
Co4 0.409 0.922 0.409
Co5 0.500 0.500 0.500
Co6 0.591 0.078 0.591
Co7 0.591 0.591 0.078
Co8 0.664 0.664 0.664
Co9 0.922 0.409 0.409

Computed properties:
* symmetry: No. 166
* formation energy: -0.015 eV/atom



# 17
CrGaRu2 | PBE-GGA | optimized geometry

a = 8.395 Å, b = 8.395 Å, c = 8.395 Å
α = 18.97°, β = 18.97°, γ = 18.97°
Element x y z (fractional)
Cr1 0.000 0.000 0.000
Ga1 0.167 0.167 0.167
Ru1 0.414 0.414 0.414
Ru2 0.586 0.586 0.586

Computed properties:
* symmetry: No. 160
* formation energy: -0.042 eV/atom



# 18
AlFe2Mo | PBE-GGA | optimized geometry

a = 4.200 Å, b = 4.200 Å, c = 4.200 Å
α = 60.00°, β = 60.00°, γ = 60.00°
Element x y z (fractional)
Al1 0.000 0.000 0.000
Fe1 0.500 0.500 0.500
Fe2 0.750 0.750 0.750
Mo1 0.250 0.250 0.250

Computed properties:
* symmetry: No. 216
* formation energy: -0.044 eV/atom



# 19
HfAgW2 | PBE-GGA | optimized geometry

a = 10.506 Å, b = 10.506 Å, c = 10.506 Å
α = 158.76°, β = 158.76°, γ = 30.21°
Element x y z (fractional)
Hf1 0.000 0.000 0.000
Hf2 0.750 0.250 0.500
Ag1 0.250 0.750 0.500
Ag2 0.500 0.500 0.000
W1 0.111 0.625 0.986
W2 0.375 0.361 0.486
W3 0.639 0.125 0.014
W4 0.875 0.889 0.514

Computed properties:
* symmetry: No. 122
* formation energy: 0.790 eV/atom
* excess energy over the best structure of this formula in the dataset: 37 meV/atom



# 20
Zr2RhCl | PBE-GGA | optimized geometry

a = 4.094 Å, b = 4.094 Å, c = 7.946 Å
α = 114.70°, β = 114.70°, γ = 51.21°
Element x y z (fractional)
Zr1 0.099 0.099 0.310
Zr2 0.901 0.901 0.690
Rh1 0.500 0.500 0.500
Cl1 0.500 0.500 0.000

Computed properties:
* symmetry: No. 12
* ΔE_f (raw): -0.714 eV/atom
* excess energy over the best structure of this formula in the dataset: 18 meV/atom



V per entry: 365; 166; 154; 412; 306; 234; 141; 54; 154; 788; 151; 362; 138; 80; 653; 157; 55; 52; 152; 92 Å³ per cell
Total moment per entry: 0.00; 0.00; 5.74; 0.00; 0.00; 0.00; 0.00; 0.00; 0.00; 12.00; 1.63; 0.00; 0.00; 0.00; 0.01; 21.51; 0.00; 3.35; 0.00; 0.00 μB/cell